Tb2DySc3: optimized geometry, PBE.

Geometry as POSCAR:
```
Tb2DySc3
1.0
-4.4990 1.9791 -1.9813
4.2568 -3.6536 -6.2285
-5.1258 -5.2780 6.3674
Tb Dy Sc
4 2 6
direct
0.5319 0.0638 0.8458
0.4681 0.9362 0.1542
0.8014 0.6027 0.1546
0.1986 0.3973 0.8454
0.8653 0.7306 0.8459
0.1347 0.2694 0.1541
0.2828 0.5656 0.5977
0.9493 0.8985 0.5983
0.6161 0.2322 0.5980
0.3839 0.7678 0.4020
0.0507 0.1015 0.4017
0.7172 0.4344 0.4023
```

**Density of states at the Fermi level**: 10.85 states/eV/f.u.
**Relative energy among the computed polymorphs**: 0.018 eV per atom
**Crystal system**: monoclinic

TlCd2W: optimized geometry, PBE.

Geometry as POSCAR:
```
TlCd2W
1.0
5.7623 0.0021 0.0049
4.9789 2.9008 0.0049
2.4093 0.6511 4.9007
Tl W Cd
1 1 2
direct
0.5118 0.5118 0.3992
0.2555 0.2555 0.3501
0.9870 0.9870 0.9212
0.7457 0.7457 0.8295
```

**Density of states at the Fermi level**: 2.06 states/eV/f.u.
**Relative energy among the computed polymorphs**: 0.098 eV per atom
**Crystal system**: monoclinic

KZr2Ni: optimized geometry, PBE.

Geometry as POSCAR:
```
KZr2Ni
1.0
5.0425 0.0000 0.0000
0.0000 4.2325 0.0000
0.0000 0.0000 4.2325
K Ni Zr
1 1 2
direct
0.5000 0.5000 0.0000
0.5000 0.0000 0.5000
0.0000 0.0000 0.0000
0.0000 0.5000 0.5000
```

**Density of states at the Fermi level**: 3.01 states/eV/f.u.
**Relative energy among the computed polymorphs**: 0.728 eV per atom
**Crystal system**: tetragonal

CoNiHg2: optimized geometry, PBE.

Geometry as POSCAR:
```
CoNiHg2
1.0
-3.0555 2.5750 2.0614
-0.1556 -2.9348 3.4028
2.2892 1.5578 1.4497
Co Hg Ni
1 2 1
direct
0.0000 0.5000 0.5000
0.0000 0.0000 0.0000
0.5000 0.5000 0.0000
0.5000 0.0000 0.5000
```

**Density of states at the Fermi level**: 5.07 states/eV/f.u.
**Relative energy among the computed polymorphs**: 0.070 eV per atom
**Crystal system**: orthorhombic

What did the third record say?
KZr2Ni: optimized geometry, PBE.

Geometry as POSCAR:
```
KZr2Ni
1.0
5.0425 0.0000 0.0000
0.0000 4.2325 0.0000
0.0000 0.0000 4.2325
K Ni Zr
1 1 2
direct
0.5000 0.5000 0.0000
0.5000 0.0000 0.5000
0.0000 0.0000 0.0000
0.0000 0.5000 0.5000
```

**Density of states at the Fermi level**: 3.01 states/eV/f.u.
**Relative energy among the computed polymorphs**: 0.728 eV per atom
**Crystal system**: tetragonal

Copy entry 3 word for word.
KZr2Ni: optimized geometry, PBE.

Geometry as POSCAR:
```
KZr2Ni
1.0
5.0425 0.0000 0.0000
0.0000 4.2325 0.0000
0.0000 0.0000 4.2325
K Ni Zr
1 1 2
direct
0.5000 0.5000 0.0000
0.5000 0.0000 0.5000
0.0000 0.0000 0.0000
0.0000 0.5000 0.5000
```

**Density of states at the Fermi level**: 3.01 states/eV/f.u.
**Relative energy among the computed polymorphs**: 0.728 eV per atom
**Crystal system**: tetragonal

> Which of these has the lowest density of states at the Fermi level?

TlCd2W